La2AlHgH | PBE | optimized geometry

The space group is P4/mmm (No. 123) and the conventional cell measures 4.9793, 4.9793 and 4.6048 Å, with angles of 90.00, 90.00 and 90.00 degrees. The inequivalent atoms are La at (0.0000, 0.5000, 0.0000), Al at (0.0000, 0.0000, 0.5000), Hg at (0.5000, 0.5000, 0.5000) and H at (0.5000, 0.5000, 0.0000).

The value obtained for the energy above the most stable polymorph in this dataset is 23 meV/atom. The total energy is -3.79 eV/atom.

***

Li2AlHgH | PBE | optimized geometry

The space group is P4/mmm (No. 123) and the conventional cell measures 4.0595, 4.0595 and 4.1283 Å, with angles of 90.00, 90.00 and 90.00 degrees. The inequivalent atoms are Li at (0.0000, 0.5000, 0.0000), Al at (0.0000, 0.0000, 0.5000), Hg at (0.5000, 0.5000, 0.5000) and H at (0.0000, 0.0000, 0.0000).

The total energy is -2.42 eV/atom.

***

Na2AlHgH | PBE | optimized geometry

The space group is P4/mmm (No. 123) and the conventional cell measures 4.5885, 4.5885 and 4.4221 Å, with angles of 90.00, 90.00 and 90.00 degrees. The inequivalent atoms are Na at (0.0000, 0.5000, 0.0000), Al at (0.0000, 0.0000, 0.5000), Hg at (0.5000, 0.5000, 0.5000) and H at (0.0000, 0.0000, 0.0000).

The total energy is -1.96 eV/atom.

***

Rb2AlHgH6 | PBE | optimized geometry

The space group is I4/mmm (No. 139) and the conventional cell measures 5.8630, 5.8630 and 8.4189 Å, with angles of 90.00, 90.00 and 90.00 degrees. The inequivalent atoms are Rb at (0.0000, 0.5000, 0.2500), Al at (0.0000, 0.0000, 0.0000), Hg at (0.0000, 0.0000, 0.5000), H at (0.0000, 0.0000, 0.2135) and H at (0.2169, 0.2169, 0.0000).

The total energy is -2.70 eV/atom.

***

AlHgSb2H | PBE | optimized geometry

The space group is P4/mmm (No. 123) and the conventional cell measures 5.6379, 5.6379 and 3.3296 Å, with angles of 90.00, 90.00 and 90.00 degrees. The inequivalent atoms are Al at (0.0000, 0.0000, 0.0000), Hg at (0.5000, 0.5000, 0.5000), Sb at (0.0000, 0.5000, 0.0000) and H at (0.0000, 0.0000, 0.5000).

The total energy is -3.01 eV/atom.

***

Ti2AlHgH | PBE | optimized geometry

The space group is P4/mmm (No. 123) and the conventional cell measures 3.9793, 3.9793 and 4.4316 Å, with angles of 90.00, 90.00 and 90.00 degrees. The inequivalent atoms are Ti at (0.0000, 0.5000, 0.0000), Al at (0.0000, 0.0000, 0.5000), Hg at (0.5000, 0.5000, 0.5000) and H at (0.0000, 0.0000, 0.0000).

The value obtained for the energy above the most stable polymorph in this dataset is 0 meV/atom. The total energy is -4.83 eV/atom.

***

no.,total moment (μB/atom)
1,0.000
2,0.000
3,0.000
4,0.000
5,0.000
6,0.000